No. 1
A plane-wave DFT calculation with PBE was carried out for Nd2BeFePt6 after structural relaxation.

Structure (CIF):
```
data_Nd2BeFePt6
_chemical_formula_sum 'Nd2 Be1 Fe1 Pt6'
_symmetry_space_group_name_H-M 'P 1'
_symmetry_Int_Tables_number 1
_cell_length_a 7.370
_cell_length_b 7.370
_cell_length_c 7.370
_cell_angle_alpha 45.90
_cell_angle_beta 45.90
_cell_angle_gamma 45.90
loop_
_symmetry_equiv_pos_as_xyz
'x,y,z'
loop_
_atom_site_label
_atom_site_fract_x
_atom_site_fract_y
_atom_site_fract_z
Nd1 0.212 0.212 0.212
Nd2 0.788 0.788 0.788
Be1 0.000 0.000 0.000
Fe1 0.500 0.500 0.500
Pt1 0.240 0.240 0.726
Pt2 0.240 0.726 0.240
Pt3 0.274 0.760 0.760
Pt4 0.726 0.240 0.240
Pt5 0.760 0.274 0.760
Pt6 0.760 0.760 0.274
```

Output
Magnetic moment   0.38 μB per atom
Formation enthalpy at 0 K   -0.69 eV per atom

***

No. 2
A plane-wave DFT calculation with PBE was carried out for BeFe2Ni after structural relaxation.

Structure (CIF):
```
data_BeFe2Ni
_chemical_formula_sum 'Be2 Fe4 Ni2'
_symmetry_space_group_name_H-M 'P 1'
_symmetry_Int_Tables_number 1
_cell_length_a 4.893
_cell_length_b 6.998
_cell_length_c 2.479
_cell_angle_alpha 90.00
_cell_angle_beta 90.17
_cell_angle_gamma 90.00
loop_
_symmetry_equiv_pos_as_xyz
'x,y,z'
loop_
_atom_site_label
_atom_site_fract_x
_atom_site_fract_y
_atom_site_fract_z
Be1 0.000 0.000 0.000
Be2 0.500 0.500 0.000
Fe1 0.250 0.250 0.500
Fe2 0.250 0.750 0.500
Fe3 0.750 0.250 0.500
Fe4 0.750 0.750 0.500
Ni1 0.000 0.500 0.000
Ni2 0.500 0.000 0.000
```

Output
Magnetic moment   1.31 μB per atom
Formation enthalpy at 0 K   -0.06 eV per atom

***

No. 3
A plane-wave DFT calculation with PBE was carried out for BeFe2Ni2 after structural relaxation.

Structure (CIF):
```
data_BeFe2Ni2
_chemical_formula_sum 'Be2 Fe4 Ni4'
_symmetry_space_group_name_H-M 'P 1'
_symmetry_Int_Tables_number 1
_cell_length_a 6.833
_cell_length_b 6.833
_cell_length_c 2.524
_cell_angle_alpha 90.00
_cell_angle_beta 90.00
_cell_angle_gamma 90.00
loop_
_symmetry_equiv_pos_as_xyz
'x,y,z'
loop_
_atom_site_label
_atom_site_fract_x
_atom_site_fract_y
_atom_site_fract_z
Be1 0.000 0.000 0.000
Be2 0.500 0.500 0.000
Fe1 0.122 0.378 0.000
Fe2 0.378 0.878 0.000
Fe3 0.622 0.122 0.000
Fe4 0.878 0.622 0.000
Ni1 0.175 0.675 0.500
Ni2 0.325 0.175 0.500
Ni3 0.675 0.825 0.500
Ni4 0.825 0.325 0.500
```

Output
Magnetic moment   1.23 μB per atom
Energy above the lowest structure with this stoichiometry   69 meV/atom
Formation enthalpy at 0 K   0.27 eV per atom

***

No. 4
A plane-wave DFT calculation with PBE was carried out for BeFe2Ni after structural relaxation.

Structure (CIF):
```
data_BeFe2Ni
_chemical_formula_sum 'Be2 Fe4 Ni2'
_symmetry_space_group_name_H-M 'P 1'
_symmetry_Int_Tables_number 1
_cell_length_a 2.769
_cell_length_b 3.826
_cell_length_c 7.805
_cell_angle_alpha 90.00
_cell_angle_beta 90.00
_cell_angle_gamma 90.00
loop_
_symmetry_equiv_pos_as_xyz
'x,y,z'
loop_
_atom_site_label
_atom_site_fract_x
_atom_site_fract_y
_atom_site_fract_z
Be1 0.000 0.000 0.000
Be2 0.500 0.500 0.500
Fe1 0.000 0.500 0.258
Fe2 0.000 0.500 0.742
Fe3 0.500 0.000 0.242
Fe4 0.500 0.000 0.758
Ni1 0.000 0.000 0.500
Ni2 0.500 0.500 0.000
```

Output
Magnetic moment   1.17 μB per atom
Formation enthalpy at 0 K   -0.10 eV per atom

***

No. 5
A plane-wave DFT calculation with PBE was carried out for Be3FeNi after structural relaxation.

Structure (CIF):
```
data_Be3FeNi
_chemical_formula_sum 'Be3 Fe1 Ni1'
_symmetry_space_group_name_H-M 'P 1'
_symmetry_Int_Tables_number 1
_cell_length_a 3.854
_cell_length_b 3.854
_cell_length_c 3.854
_cell_angle_alpha 90.00
_cell_angle_beta 90.00
_cell_angle_gamma 90.00
loop_
_symmetry_equiv_pos_as_xyz
'x,y,z'
loop_
_atom_site_label
_atom_site_fract_x
_atom_site_fract_y
_atom_site_fract_z
Be1 0.000 0.000 0.500
Be2 0.000 0.500 0.000
Be3 0.500 0.000 0.000
Fe1 0.500 0.500 0.500
Ni1 0.000 0.000 0.000
```

Output
Magnetic moment   0.50 μB per atom
Energy above the lowest structure with this stoichiometry   0 meV/atom
Formation enthalpy at 0 K   0.55 eV per atom

***

No. 6
A plane-wave DFT calculation with PBE was carried out for Be2FeNi after structural relaxation.

Structure (CIF):
```
data_Be2FeNi
_chemical_formula_sum 'Be2 Fe1 Ni1'
_symmetry_space_group_name_H-M 'P 1'
_symmetry_Int_Tables_number 1
_cell_length_a 2.533
_cell_length_b 2.533
_cell_length_c 5.791
_cell_angle_alpha 90.00
_cell_angle_beta 90.00
_cell_angle_gamma 90.00
loop_
_symmetry_equiv_pos_as_xyz
'x,y,z'
loop_
_atom_site_label
_atom_site_fract_x
_atom_site_fract_y
_atom_site_fract_z
Be1 0.000 0.000 0.000
Be2 0.500 0.500 0.216
Fe1 0.000 0.000 0.468
Ni1 0.500 0.500 0.774
```

Output
Magnetic moment   0.59 μB per atom
Energy above the lowest structure with this stoichiometry   142 meV/atom
Formation enthalpy at 0 K   -0.17 eV per atom

***

No. 7
A plane-wave DFT calculation with PBE was carried out for BeFe2Ni after structural relaxation.

Structure (CIF):
```
data_BeFe2Ni
_chemical_formula_sum 'Be1 Fe2 Ni1'
_symmetry_space_group_name_H-M 'P 1'
_symmetry_Int_Tables_number 1
_cell_length_a 2.481
_cell_length_b 3.423
_cell_length_c 4.952
_cell_angle_alpha 90.00
_cell_angle_beta 90.16
_cell_angle_gamma 90.00
loop_
_symmetry_equiv_pos_as_xyz
'x,y,z'
loop_
_atom_site_label
_atom_site_fract_x
_atom_site_fract_y
_atom_site_fract_z
Be1 0.000 0.000 0.000
Fe1 0.499 0.500 0.238
Fe2 0.501 0.500 0.762
Ni1 0.000 0.000 0.500
```

Output
Magnetic moment   1.31 μB per atom
Formation enthalpy at 0 K   -0.09 eV per atom

***

No. 8
A plane-wave DFT calculation with PBE was carried out for BeFe3Ni after structural relaxation.

Structure (CIF):
```
data_BeFe3Ni
_chemical_formula_sum 'Be1 Fe3 Ni1'
_symmetry_space_group_name_H-M 'P 1'
_symmetry_Int_Tables_number 1
_cell_length_a 4.284
_cell_length_b 4.284
_cell_length_c 4.284
_cell_angle_alpha 90.00
_cell_angle_beta 90.00
_cell_angle_gamma 90.00
loop_
_symmetry_equiv_pos_as_xyz
'x,y,z'
loop_
_atom_site_label
_atom_site_fract_x
_atom_site_fract_y
_atom_site_fract_z
Be1 0.000 0.000 0.000
Fe1 0.000 0.500 0.500
Fe2 0.500 0.000 0.500
Fe3 0.500 0.500 0.000
Ni1 0.500 0.500 0.500
```

Output
Magnetic moment   1.86 μB per atom
Energy above the lowest structure with this stoichiometry   602 meV/atom
Formation enthalpy at 0 K   1.18 eV per atom

***

No. 9
A plane-wave DFT calculation with PBE was carried out for BeFe2Ni after structural relaxation.

Structure (CIF):
```
data_BeFe2Ni
_chemical_formula_sum 'Be2 Fe4 Ni2'
_symmetry_space_group_name_H-M 'P 1'
_symmetry_Int_Tables_number 1
_cell_length_a 2.566
_cell_length_b 4.067
_cell_length_c 8.009
_cell_angle_alpha 90.00
_cell_angle_beta 90.00
_cell_angle_gamma 90.00
loop_
_symmetry_equiv_pos_as_xyz
'x,y,z'
loop_
_atom_site_label
_atom_site_fract_x
_atom_site_fract_y
_atom_site_fract_z
Be1 0.000 0.000 0.000
Be2 0.500 0.500 0.500
Fe1 0.000 0.000 0.509
Fe2 0.000 0.500 0.739
Fe3 0.500 0.000 0.239
Fe4 0.500 0.500 0.009
Ni1 0.000 0.500 0.277
Ni2 0.500 0.000 0.777
```

Output
Magnetic moment   1.28 μB per atom
Formation enthalpy at 0 K   -0.04 eV per atom

***

No. 10
A plane-wave DFT calculation with PBE was carried out for BeFe2Ni after structural relaxation.

Structure (CIF):
```
data_BeFe2Ni
_chemical_formula_sum 'Be3 Fe6 Ni3'
_symmetry_space_group_name_H-M 'P 1'
_symmetry_Int_Tables_number 1
_cell_length_a 2.467
_cell_length_b 2.467
_cell_length_c 23.751
_cell_angle_alpha 90.00
_cell_angle_beta 90.00
_cell_angle_gamma 120.00
loop_
_symmetry_equiv_pos_as_xyz
'x,y,z'
loop_
_atom_site_label
_atom_site_fract_x
_atom_site_fract_y
_atom_site_fract_z
Be1 0.000 0.000 0.000
Be2 0.333 0.667 0.667
Be3 0.667 0.333 0.333
Fe1 0.000 0.000 0.254
Fe2 0.000 0.000 0.746
Fe3 0.333 0.667 0.413
Fe4 0.333 0.667 0.920
Fe5 0.667 0.333 0.080
Fe6 0.667 0.333 0.587
Ni1 0.000 0.000 0.500
Ni2 0.333 0.667 0.167
Ni3 0.667 0.333 0.833
```

Output
Magnetic moment   1.15 μB per atom
Formation enthalpy at 0 K   -0.01 eV per atom

***

No. 11
A plane-wave DFT calculation with PBE was carried out for Be2FeNi after structural relaxation.

Structure (CIF):
```
data_Be2FeNi
_chemical_formula_sum 'Be6 Fe3 Ni3'
_symmetry_space_group_name_H-M 'P 1'
_symmetry_Int_Tables_number 1
_cell_length_a 2.429
_cell_length_b 2.429
_cell_length_c 22.046
_cell_angle_alpha 90.00
_cell_angle_beta 90.00
_cell_angle_gamma 120.00
loop_
_symmetry_equiv_pos_as_xyz
'x,y,z'
loop_
_atom_site_label
_atom_site_fract_x
_atom_site_fract_y
_atom_site_fract_z
Be1 0.000 0.000 0.249
Be2 0.000 0.000 0.751
Be3 0.333 0.667 0.418
Be4 0.333 0.667 0.916
Be5 0.667 0.333 0.084
Be6 0.667 0.333 0.582
Fe1 0.000 0.000 0.000
Fe2 0.333 0.667 0.667
Fe3 0.667 0.333 0.333
Ni1 0.000 0.000 0.500
Ni2 0.333 0.667 0.167
Ni3 0.667 0.333 0.833
```

Output
Magnetic moment   0.24 μB per atom
Energy above the lowest structure with this stoichiometry   192 meV/atom
Formation enthalpy at 0 K   -0.12 eV per atom

***

No. 12
A plane-wave DFT calculation with PBE was carried out for BeFe3Ni12 after structural relaxation.

Structure (CIF):
```
data_BeFe3Ni12
_chemical_formula_sum 'Be1 Fe3 Ni12'
_symmetry_space_group_name_H-M 'P 1'
_symmetry_Int_Tables_number 1
_cell_length_a 3.519
_cell_length_b 3.519
_cell_length_c 13.953
_cell_angle_alpha 90.00
_cell_angle_beta 90.00
_cell_angle_gamma 90.00
loop_
_symmetry_equiv_pos_as_xyz
'x,y,z'
loop_
_atom_site_label
_atom_site_fract_x
_atom_site_fract_y
_atom_site_fract_z
Be1 0.000 0.000 0.000
Fe1 0.000 0.000 0.243
Fe2 0.000 0.000 0.500
Fe3 0.000 0.000 0.757
Ni1 0.000 0.500 0.119
Ni2 0.000 0.500 0.373
Ni3 0.000 0.500 0.627
Ni4 0.000 0.500 0.881
Ni5 0.500 0.000 0.119
Ni6 0.500 0.000 0.373
Ni7 0.500 0.000 0.627
Ni8 0.500 0.000 0.881
Ni9 0.500 0.500 0.000
Ni10 0.500 0.500 0.246
Ni11 0.500 0.500 0.500
Ni12 0.500 0.500 0.754
```

Output
Magnetic moment   0.98 μB per atom
Formation enthalpy at 0 K   -0.11 eV per atom

***

> What is the formula in the first record?

Nd2BeFePt6

***

> Number 3 is which compound?

BeFe2Ni2

***

What did the eleventh record say?
A plane-wave DFT calculation with PBE was carried out for Be2FeNi after structural relaxation.

Structure (CIF):
```
data_Be2FeNi
_chemical_formula_sum 'Be6 Fe3 Ni3'
_symmetry_space_group_name_H-M 'P 1'
_symmetry_Int_Tables_number 1
_cell_length_a 2.429
_cell_length_b 2.429
_cell_length_c 22.046
_cell_angle_alpha 90.00
_cell_angle_beta 90.00
_cell_angle_gamma 120.00
loop_
_symmetry_equiv_pos_as_xyz
'x,y,z'
loop_
_atom_site_label
_atom_site_fract_x
_atom_site_fract_y
_atom_site_fract_z
Be1 0.000 0.000 0.249
Be2 0.000 0.000 0.751
Be3 0.333 0.667 0.418
Be4 0.333 0.667 0.916
Be5 0.667 0.333 0.084
Be6 0.667 0.333 0.582
Fe1 0.000 0.000 0.000
Fe2 0.333 0.667 0.667
Fe3 0.667 0.333 0.333
Ni1 0.000 0.000 0.500
Ni2 0.333 0.667 0.167
Ni3 0.667 0.333 0.833
```

Output
Magnetic moment   0.24 μB per atom
Energy above the lowest structure with this stoichiometry   192 meV/atom
Formation enthalpy at 0 K   -0.12 eV per atom